A | DFT (GGA-PBE) results for an optimized crystal structure of ZrVCl2.

a b c (Å): 4.352 4.352 16.535
angles (deg): 90.00 90.00 90.00
Space group I-42d (No. 122)
One atom of each set of equivalent atoms:
1 Zr 0.000 0.000 0.000 [4 per cell]
2 V 0.000 0.000 0.500 [4 per cell]
3 Cl 0.241 0.250 0.625 [8 per cell]

---

B | DFT (GGA-PBE) results for an optimized crystal structure of ZrVCl2.

a b c (Å): 3.2543 3.2543 26.0545
angles (deg): 90.00 90.00 120.00
Space group R-3m (No. 166, hexagonal axes)
One atom of each set of equivalent atoms:
1 Zr 0.0000 0.0000 0.0000 [3 per cell]
2 V 0.0000 0.0000 0.5000 [3 per cell]
3 Cl 0.0000 0.0000 0.4056 [6 per cell]

---

Stability ranking, top entry: B; the second entry is 216 meV per atom less favorable.

---

A | DFT (GGA-PBE) results for an optimized crystal structure of W2Cl.

a b c (Å): 17.119 3.141 5.439
angles (deg): 90.00 102.92 90.00
Space group C2/m (No. 12)
One atom of each set of equivalent atoms:
1 W 0.196 0.000 0.046 [4 per cell]
2 W 0.200 0.000 0.545 [4 per cell]
3 Cl 0.084 0.500 0.807 [4 per cell]

---

B | DFT (GGA-PBE) results for an optimized crystal structure of W2Cl.

a b c (Å): 3.008 3.008 11.302
angles (deg): 90.00 90.00 90.00
Space group I4/mmm (No. 139)
One atom of each set of equivalent atoms:
1 W 0.000 0.000 0.179 [4 per cell]
2 Cl 0.000 0.000 0.500 [2 per cell]

---

C | DFT (GGA-PBE) results for an optimized crystal structure of W2Cl.

a b c (Å): 17.525 3.152 5.565
angles (deg): 90.00 92.52 90.00
Space group C2/m (No. 12)
One atom of each set of equivalent atoms:
1 W 0.190 0.000 0.364 [4 per cell]
2 W 0.217 0.000 0.822 [4 per cell]
3 Cl 0.081 0.500 0.255 [4 per cell]

---

D | DFT (GGA-PBE) results for an optimized crystal structure of W2Cl.

a b c (Å): 4.5655 4.5655 5.3839
angles (deg): 90.00 90.00 120.00
Space group P6_3/mmc (No. 194)
One atom of each set of equivalent atoms:
1 W 0.0000 0.0000 0.0000 [2 per cell]
2 W 0.3333 0.6667 0.2500 [2 per cell]
3 Cl 0.3333 0.6667 0.7500 [2 per cell]

---

Stability ranking, top entry: C; the second entry is 129 meV per atom less favorable.

---

A | DFT (GGA-PBE) results for an optimized crystal structure of W2Cl.

a b c (Å): 5.951 5.951 5.236
angles (deg): 90.00 90.00 90.00
Space group I4/mcm (No. 140)
One atom of each set of equivalent atoms:
1 W 0.151 0.349 0.000 [8 per cell]
2 Cl 0.000 0.000 0.250 [4 per cell]

---

B | DFT (GGA-PBE) results for an optimized crystal structure of W2Cl.

a b c (Å): 2.792 4.341 8.096
angles (deg): 90.00 90.00 90.00
Space group Immm (No. 71)
One atom of each set of equivalent atoms:
1 W 0.000 0.000 0.167 [4 per cell]
2 Cl 0.000 0.000 0.500 [2 per cell]

---

C | DFT (GGA-PBE) results for an optimized crystal structure of W2Cl.

a b c (Å): 3.214 16.182 4.854
angles (deg): 90.00 90.00 90.00
Space group Cmcm (No. 63)
One atom of each set of equivalent atoms:
1 W 0.000 0.154 0.250 [4 per cell]
2 W 0.000 0.229 0.750 [4 per cell]
3 Cl 0.000 0.421 0.250 [4 per cell]

---

D | DFT (GGA-PBE) results for an optimized crystal structure of W2Cl.

a b c (Å): 4.6621 4.6621 2.7903
angles (deg): 90.00 90.00 120.00
Space group P6/mmm (No. 191)
One atom of each set of equivalent atoms:
1 W 0.3333 0.6667 0.0000 [2 per cell]
2 Cl 0.0000 0.0000 0.5000 [1 per cell]

---

Stability ranking, top entry: C; the second entry is 543 meV per atom less favorable.

---

A | DFT (GGA-PBE) results for an optimized crystal structure of W2Cl.

a b c (Å): 4.417 5.647 4.083
angles (deg): 90.00 90.00 90.00
Space group Pnnm (No. 58)
One atom of each set of equivalent atoms:
1 W 0.239 0.133 0.000 [4 per cell]
2 Cl 0.000 0.500 0.000 [2 per cell]

---

B | DFT (GGA-PBE) results for an optimized crystal structure of W2Cl.

a b c (Å): 3.044 3.044 24.397
angles (deg): 90.00 90.00 90.00
Space group I4_1/amd (No. 141, origin choice 2)
One atom of each set of equivalent atoms:
1 W 0.000 0.250 0.288 [8 per cell]
2 Cl 0.000 0.250 0.875 [4 per cell]

---

C | DFT (GGA-PBE) results for an optimized crystal structure of W2Cl.

a b c (Å): 2.8771 2.8771 6.6596
angles (deg): 90.00 90.00 120.00
Space group P-3m1 (No. 164)
One atom of each set of equivalent atoms:
1 W 0.3333 0.6667 0.3262 [2 per cell]
2 Cl 0.0000 0.0000 0.0000 [1 per cell]

---

D | DFT (GGA-PBE) results for an optimized crystal structure of W2Cl.

a b c (Å): 4.529 4.529 19.015
angles (deg): 90.00 90.00 90.00
Space group I4_1/amd (No. 141, origin choice 2)
One atom of each set of equivalent atoms:
1 W 0.000 0.250 0.124 [8 per cell]
2 W 0.000 0.250 0.289 [8 per cell]
3 Cl 0.000 0.250 0.804 [8 per cell]

---

Stability ranking, top entry: C; the second entry is 442 meV per atom less favorable.

---

A | DFT (GGA-PBE) results for an optimized crystal structure of WCl3.

a b c (Å): 4.771 11.495 3.151
angles (deg): 90.00 90.00 90.00
Space group Cmmm (No. 65)
One atom of each set of equivalent atoms:
1 W 0.000 0.000 0.000 [2 per cell]
2 Cl 0.000 0.500 0.000 [2 per cell]
3 Cl 0.250 0.250 0.500 [4 per cell]

---

B | DFT (GGA-PBE) results for an optimized crystal structure of WCl3.

a b c (Å): 8.8550 8.8550 3.3320
angles (deg): 90.00 90.00 120.00
Space group R-3m (No. 166, hexagonal axes)
One atom of each set of equivalent atoms:
1 W 0.0000 0.0000 0.0000 [3 per cell]
2 Cl 0.0000 0.5000 0.0000 [9 per cell]

---

Stability ranking, top entry: A; the second entry is 53 meV per atom less favorable.

---

A | DFT (GGA-PBE) results for an optimized crystal structure of WCl3.

a b c (Å): 4.745 4.745 3.273
angles (deg): 90.00 90.00 90.00
Space group P4/mmm (No. 123)
One atom of each set of equivalent atoms:
1 W 0.000 0.000 0.000 [1 per cell]
2 Cl 0.000 0.500 0.500 [2 per cell]
3 Cl 0.500 0.500 0.000 [1 per cell]

---

B | DFT (GGA-PBE) results for an optimized crystal structure of WCl3.

a b c (Å): 3.151 11.136 6.706
angles (deg): 90.00 90.00 90.00
Space group Imm2 (No. 44)
One atom of each set of equivalent atoms:
1 W 0.000 0.000 0.000 [2 per cell]
2 Cl 0.000 0.354 0.640 [4 per cell]
3 Cl 0.000 0.500 0.220 [2 per cell]

---

C | DFT (GGA-PBE) results for an optimized crystal structure of WCl3.

a b c (Å): 11.472 14.020 3.263
angles (deg): 90.00 90.00 90.00
Space group Cmcm (No. 63)
One atom of each set of equivalent atoms:
1 W 0.000 0.069 0.250 [4 per cell]
2 Cl 0.000 0.426 0.250 [4 per cell]
3 Cl 0.177 0.138 0.250 [8 per cell]

---

D | DFT (GGA-PBE) results for an optimized crystal structure of WCl3.

a b c (Å): 2.871 5.991 10.497
angles (deg): 90.00 90.00 90.00
Space group Cmmm (No. 65)
One atom of each set of equivalent atoms:
1 W 0.000 0.000 0.000 [2 per cell]
2 Cl 0.000 0.000 0.500 [2 per cell]
3 Cl 0.000 0.500 0.185 [4 per cell]

---

Stability ranking, top entry: B; the second entry is 208 meV per atom less favorable.

---

A | DFT (GGA-PBE) results for an optimized crystal structure of WCl3.

a b c (Å): 3.0902 3.0902 30.3797
angles (deg): 90.00 90.00 120.00
Space group R-3m (No. 166, hexagonal axes)
One atom of each set of equivalent atoms:
1 W 0.0000 0.0000 0.0000 [3 per cell]
2 Cl 0.0000 0.0000 0.3908 [6 per cell]
3 Cl 0.0000 0.0000 0.5000 [3 per cell]

---

B | DFT (GGA-PBE) results for an optimized crystal structure of WCl3.

a b c (Å): 6.640 6.640 6.640
angles (deg): 90.00 90.00 90.00
Space group Fm-3m (No. 225)
One atom of each set of equivalent atoms:
1 W 0.000 0.000 0.000 [4 per cell]
2 Cl 0.000 0.000 0.500 [4 per cell]
3 Cl 0.250 0.250 0.250 [8 per cell]

---

C | DFT (GGA-PBE) results for an optimized crystal structure of WCl3.

a b c (Å): 3.001 4.665 13.765
angles (deg): 90.00 90.00 90.00
Space group Immm (No. 71)
One atom of each set of equivalent atoms:
1 W 0.000 0.000 0.000 [2 per cell]
2 Cl 0.000 0.000 0.500 [2 per cell]
3 Cl 0.000 0.500 0.360 [4 per cell]

---

D | DFT (GGA-PBE) results for an optimized crystal structure of WCl3.

a b c (Å): 3.014 3.014 8.392
angles (deg): 90.00 90.00 90.00
Space group P4/mmm (No. 123)
One atom of each set of equivalent atoms:
1 W 0.000 0.000 0.000 [1 per cell]
2 Cl 0.000 0.000 0.500 [1 per cell]
3 Cl 0.500 0.500 0.177 [2 per cell]

---

Stability ranking, top entry: C; the second entry is 180 meV per atom less favorable.

---

A | DFT (GGA-PBE) results for an optimized crystal structure of WCl3.

a b c (Å): 6.205 9.706 7.061
angles (deg): 90.00 104.85 90.00
Space group C2/m (No. 12)
One atom of each set of equivalent atoms:
1 W 0.000 0.133 0.000 [4 per cell]
2 Cl 0.230 0.328 0.194 [8 per cell]
3 Cl 0.240 0.000 0.254 [4 per cell]

---

B | DFT (GGA-PBE) results for an optimized crystal structure of WCl3.

a b c (Å): 3.1308 3.1308 27.4297
angles (deg): 90.00 90.00 120.00
Space group R-3m (No. 166, hexagonal axes)
One atom of each set of equivalent atoms:
1 W 0.0000 0.0000 0.0000 [3 per cell]
2 Cl 0.0000 0.0000 0.2710 [6 per cell]
3 Cl 0.0000 0.0000 0.5000 [3 per cell]

---

Stability ranking, top entry: A; the second entry is 674 meV per atom less favorable.

---

A | DFT (GGA-PBE) results for an optimized crystal structure of W5Cl.

a b c (Å): 11.377 3.044 5.917
angles (deg): 90.00 106.47 90.00
Space group Cm (No. 8)
One atom of each set of equivalent atoms:
1 W 0.000 0.000 0.000 [2 per cell]
2 W 0.048 0.000 0.591 [2 per cell]
3 W 0.210 0.500 0.955 [2 per cell]
4 W 0.332 0.000 0.698 [2 per cell]
5 W 0.390 0.000 0.257 [2 per cell]
6 Cl 0.198 0.500 0.381 [2 per cell]

---

B | DFT (GGA-PBE) results for an optimized crystal structure of W5Cl.

a b c (Å): 5.2427 5.2427 4.7348
angles (deg): 90.00 90.00 120.00
Space group P6/mmm (No. 191)
One atom of each set of equivalent atoms:
1 W 0.0000 0.5000 0.0000 [3 per cell]
2 W 0.3333 0.6667 0.5000 [2 per cell]
3 Cl 0.0000 0.0000 0.5000 [1 per cell]

---

Stability ranking, top entry: A; the second entry is 490 meV per atom less favorable.